Al2AgSe | GGA-PBE | optimized geometry

Unit cell a=7.937 b=7.937 c=7.937 alpha=25.41 beta=25.41 gamma=25.41
Fractional coordinates of all 4 atoms:
1 Al 0.999 0.999 0.999
2 Al 0.243 0.243 0.243
3 Ag 0.744 0.744 0.744
4 Se 0.514 0.514 0.514

## Properties
As for the space group: R3m (160). The electronic total energy comes out at -0.2640 Ry/atom.

***

Al2AgSe | GGA-PBE | optimized geometry

Unit cell a=3.163 b=3.163 c=7.710 alpha=90.00 beta=90.00 gamma=90.00
Fractional coordinates of all 4 atoms:
1 Ag 0.500 0.500 0.781
2 Al 0.500 0.500 0.269
3 Al 0.000 0.000 0.003
4 Se 0.000 0.000 0.448

## Properties
As for the space group: P4mm (99). The electronic total energy comes out at -0.2506 Ry/atom.

***

AlAgSe2 | GGA-PBE | optimized geometry

Unit cell a=6.037 b=6.037 c=7.006 alpha=64.48 beta=64.48 gamma=90.00
Fractional coordinates of all 8 atoms:
1 Ag 0.000 0.000 0.000
2 Se 0.589 0.125 0.250
3 Se 0.375 0.411 0.750
4 Se 0.875 0.839 0.750
5 Se 0.161 0.625 0.250
6 Ag 0.750 0.250 0.500
7 Al 0.250 0.750 0.500
8 Al 0.500 0.500 0.000

## Properties
As for the space group: I-42d (122). The electronic total energy comes out at -0.2948 Ry/atom.

***

Al2AgSe | GGA-PBE | optimized geometry

Unit cell a=5.886 b=5.886 c=4.856 alpha=65.70 beta=65.70 gamma=30.22
Fractional coordinates of all 4 atoms:
1 Ag 0.750 0.750 0.750
2 Al 0.983 0.983 0.017
3 Se 0.250 0.250 0.250
4 Al 0.517 0.517 0.483

## Properties
As for the space group: C2/m (12). The electronic total energy comes out at -0.2451 Ry/atom.

***

Al2AgSe | GGA-PBE | optimized geometry

Unit cell a=3.318 b=3.318 c=6.657 alpha=90.00 beta=90.00 gamma=90.00
Fractional coordinates of all 4 atoms:
1 Al 0.000 0.000 0.004
2 Ag 0.500 0.500 0.750
3 Se 0.500 0.500 0.250
4 Al 0.000 0.000 0.496

## Properties
As for the space group: P4/mmm (123). The electronic total energy comes out at -0.2521 Ry/atom.

***

AlAgSe2 | GGA-PBE | optimized geometry

Unit cell a=5.770 b=5.770 c=5.770 alpha=144.09 beta=93.61 gamma=97.31
Fractional coordinates of all 4 atoms:
1 Se 0.471 0.471 0.000
2 Ag 0.750 0.250 0.500
3 Al 0.250 0.750 0.500
4 Se 0.029 0.029 0.000

## Properties
As for the space group: Immm (71). The electronic total energy comes out at -0.2634 Ry/atom.